# Sc12Tl3Sn

A relaxed structure of Sc12Tl3Sn (PBE, the Alexandria database).

a b c (Å): 4.523 4.523 18.075
angles (deg): 90.00 90.00 90.00
Space group P4/mmm (No. 123)
One atom of each set of equivalent atoms:
1 Sc 0.000 0.000 0.000 (multiplicity 1)
2 Sc 0.000 0.000 0.249 (multiplicity 2)
3 Sc 0.000 0.000 0.500 (multiplicity 1)
4 Sc 0.000 0.500 0.124 (multiplicity 4)
5 Sc 0.000 0.500 0.375 (multiplicity 4)
6 Tl 0.500 0.500 0.250 (multiplicity 2)
7 Tl 0.500 0.500 0.500 (multiplicity 1)
8 Sn 0.500 0.500 0.000 (multiplicity 1)

total magnetic moment = 7.13 Bohr magnetons per cell
DOS at the Fermi energy = 1.0748 states/eV per atom
DFT formation energy = -0.26 eV/atom